(1)
# PrUFe4

PrUFe4 after structural relaxation (PBE, Alexandria).

As for the energy: -8.208 eV per atom.

The structure belongs to space group F-43m (No. 216); the cell edges are 7.2721, 7.2721 and 7.2721 Å and the angles 90.00°, 90.00° and 90.00°. The inequivalent atoms are Pr at (0.0000, 0.0000, 0.0000), U at (0.2500, 0.2500, 0.2500) and Fe at (0.1243, 0.1243, 0.6243).

(2)
# PrUFe3

PrUFe3 after structural relaxation (PBE, Alexandria).

As for the energy: -8.272 eV per atom.

The structure belongs to space group P2_1/c (No. 14); the cell edges are 7.8284, 5.9085 and 8.6228 Å and the angles 90.00°, 112.18° and 90.00°. The inequivalent atoms are Pr at (0.0957, 0.0884, 0.2117), U at (0.3858, 0.7167, 0.0664), Fe at (0.1409, 0.5825, 0.0865), Fe at (0.3630, 0.2226, 0.5710) and Fe at (0.3827, 0.0197, 0.8535).

(3)
# PrU2Fe9

PrU2Fe9 after structural relaxation (PBE, Alexandria).

As for the energy: -8.594 eV per atom.

The structure belongs to space group C2/m (No. 12); the cell edges are 8.4240, 4.8641 and 8.8456 Å and the angles 90.00°, 108.56° and 90.00°. The inequivalent atoms are Pr at (0.0000, 0.0000, 0.0000), U at (0.1452, 0.0000, 0.4355), Fe at (0.0000, 0.5000, 0.5000), Fe at (0.0815, 0.5000, 0.2468), Fe at (0.1671, 0.2514, 0.7533) and Fe at (0.1676, 0.5000, 0.0032).

(4)
# PrU6Fe12

PrU6Fe12 after structural relaxation (PBE, Alexandria).

As for the energy: -9.014 eV per atom.

The structure belongs to space group R-3m (No. 166, hexagonal axes); the cell edges are 11.7363, 11.7363 and 7.8659 Å and the angles 90.00°, 90.00° and 120.00°. The inequivalent atoms are Pr at (0.0000, 0.0000, 0.0000), U at (0.1038, 0.5519, 0.3320), Fe at (0.0000, 0.3488, 0.5000) and Fe at (0.1102, 0.2204, 0.3070).

(5)
# PrUFe4

PrUFe4 after structural relaxation (PBE, Alexandria).

As for the energy: -8.227 eV per atom.

The structure belongs to space group C2/m (No. 12); the cell edges are 9.9822, 6.4330 and 6.8739 Å and the angles 90.00°, 114.41° and 90.00°. The inequivalent atoms are Pr at (0.2068, 0.0000, 0.3025), U at (0.0267, 0.5000, 0.2246), Fe at (0.0000, 0.1768, 0.5000), Fe at (0.1022, 0.2206, 0.8963) and Fe at (0.2502, 0.0000, 0.7833).

(6)
# PrVFe

PrVFe after structural relaxation (PBE, Alexandria).

As for the energy: -7.279 eV per atom.

The structure belongs to space group C2/m (No. 12); the cell edges are 5.4744, 6.1360 and 7.4587 Å and the angles 90.00°, 94.34° and 90.00°. The inequivalent atoms are Pr at (0.2429, 0.0000, 0.3248), V at (0.2053, 0.5000, 0.1344) and Fe at (0.0000, 0.2171, 0.0000).

(7)
# PrYFe4

PrYFe4 after structural relaxation (PBE, Alexandria).

As for the energy: -7.485 eV per atom.

The structure belongs to space group F-43m (No. 216); the cell edges are 7.3877, 7.3877 and 7.3877 Å and the angles 90.00°, 90.00° and 90.00°. The inequivalent atoms are Pr at (0.0000, 0.0000, 0.0000), Y at (0.2500, 0.2500, 0.7500) and Fe at (0.1246, 0.1246, 0.3754).

(8)
# Pr2Y5Fe2

Pr2Y5Fe2 after structural relaxation (PBE, Alexandria).

As for the energy: -6.490 eV per atom.

The structure belongs to space group Cmce (No. 64); the cell edges are 20.4002, 7.0890 and 7.0743 Å and the angles 90.00°, 90.00° and 90.00°. The inequivalent atoms are Pr at (0.2318, 0.0000, 0.0000), Y at (0.0000, 0.0000, 0.0000), Y at (0.1056, 0.1810, 0.3218) and Fe at (0.0000, 0.1079, 0.6056).

(9)
# PrZnFe

PrZnFe after structural relaxation (PBE, Alexandria).

As for the energy: -4.911 eV per atom.

The structure belongs to space group C2/m (No. 12); the cell edges are 12.3400, 3.9879 and 5.2067 Å and the angles 90.00°, 105.74° and 90.00°. The inequivalent atoms are Pr at (0.1197, 0.0000, 0.3107), Zn at (0.0875, 0.5000, 0.7738) and Fe at (0.2212, 0.0000, 0.8963).

(10)
# Pr2ZnFe

Pr2ZnFe after structural relaxation (PBE, Alexandria).

As for the energy: -4.779 eV per atom.

The structure belongs to space group Fm-3m (No. 225); the cell edges are 7.2666, 7.2666 and 7.2666 Å and the angles 90.00°, 90.00° and 90.00°. The inequivalent atoms are Pr at (0.2500, 0.2500, 0.2500), Zn at (0.0000, 0.0000, 0.0000) and Fe at (0.0000, 0.0000, 0.5000).

(11)
# Pr2ZnFe

Pr2ZnFe after structural relaxation (PBE, Alexandria).

As for the energy: -4.230 eV per atom.

The structure belongs to space group R-3m (No. 166, hexagonal axes); the cell edges are 3.3446, 3.3446 and 31.8101 Å and the angles 90.00°, 90.00° and 120.00°. The inequivalent atoms are Pr at (0.0000, 0.0000, 0.0875), Zn at (0.0000, 0.0000, 0.5000) and Fe at (0.0000, 0.0000, 0.0000).

(12)
# Pr2ZnFe

Pr2ZnFe after structural relaxation (PBE, Alexandria).

As for the energy: -4.796 eV per atom.

The structure belongs to space group P4/mmm (No. 123); the cell edges are 3.6201, 3.6201 and 7.3496 Å and the angles 90.00°, 90.00° and 90.00°. The inequivalent atoms are Pr at (0.0000, 0.0000, 0.2346), Zn at (0.5000, 0.5000, 0.5000) and Fe at (0.5000, 0.5000, 0.0000).

Formation enthalpy at 0 K
In order: 0.67; 0.09; 0.40; 2.79; 0.56; 0.53; 0.19; 0.40; -0.22; 0.18; 2.37; 0.11
Unit: eV per formula unit
V
In order: 16.0; 18.5; 14.3; 16.5; 16.7; 20.8; 16.8; 28.4; 20.6; 24.0; 25.7; 24.1
Unit: Å³/atom